*a*
This record from Alexandria describes NdSmThSc after structural relaxation. The functional is PBE.

Lattice parameters (Å, degrees): 7.9429 7.9429 7.9429 90.00 90.00 90.00
Closest atoms and distances in Å follow each position.
Space group F-43m (No. 216)
Asymmetric unit:
Nd 0.0000 0.0000 0.0000  4 Sc 3.44, 4 Sm 3.44
Sm 0.2500 0.2500 0.2500  4 Th 3.44, 4 Nd 3.44
Th 0.0000 0.0000 0.5000  4 Sc 3.44, 4 Sm 3.44
Sc 0.2500 0.2500 0.7500  4 Th 3.44, 4 Nd 3.44

Summary:
The calculation puts the density of states at the Fermi level at 31.017 states/eV per cell. The volume is 501 Å³ per cell. The total magnetization is 0.0 μB/f.u.

=====

*b*
This record from Alexandria describes NdSmThSc after structural relaxation. The functional is PBE.

Lattice parameters (Å, degrees): 3.5646 3.5646 34.1249 90.00 90.00 120.00
Closest atoms and distances in Å follow each position.
Space group R3m (No. 160, hexagonal axes)
Asymmetric unit:
Nd 0.0000 0.0000 0.0000  3 Sc 3.46, 6 Nd 3.56, 3 Sm 3.72
Sm 0.0000 0.0000 0.2425  3 Th 3.51, 6 Sm 3.56, 3 Nd 3.72
Th 0.0000 0.0000 0.8258  3 Sc 3.35, 3 Sm 3.51, 6 Th 3.56
Sc 0.0000 0.0000 0.4149  3 Th 3.35, 3 Nd 3.46, 6 Sc 3.56

Summary:
The calculation puts the density of states at the Fermi level at 18.130 states/eV per cell. The volume is 375 Å³ per cell. The total magnetization is 0.0 μB/f.u.

=====

Quick one: least stable of them? *a*

=====

*a*
This record from Alexandria describes NdSmScTl after structural relaxation. The functional is PBE.

Lattice parameters (Å, degrees): 4.7841 4.7841 9.8369 90.00 90.00 90.00
Closest atoms and distances in Å follow each position.
Space group P4/nmm (No. 129, origin choice 2)
Asymmetric unit:
Nd 0.2500 0.7500 0.0000  4 Nd 3.38, 4 Sm 3.49, 4 Tl 3.63
Sm 0.2500 0.2500 0.2587  4 Sc 3.37, 4 Tl 3.39, 4 Nd 3.49
Sc 0.2500 0.7500 0.5000  4 Tl 3.24, 4 Sm 3.37, 4 Sc 3.38
Tl 0.2500 0.2500 0.7221  4 Sc 3.24, 4 Sm 3.39

Summary:
The calculation puts the density of states at the Fermi level at 9.615 states/eV per cell. The volume is 225 Å³ per cell. The total magnetization is 0.9 μB/f.u.

=====

*b*
This record from Alexandria describes NdSmScTl after structural relaxation. The functional is PBE.

Lattice parameters (Å, degrees): 7.7449 7.7449 7.7449 90.00 90.00 90.00
Closest atoms and distances in Å follow each position.
Space group F-43m (No. 216)
Asymmetric unit:
Nd 0.0000 0.0000 0.0000  4 Tl 3.35, 4 Sc 3.35
Sm 0.0000 0.0000 0.5000  4 Tl 3.35, 4 Sc 3.35
Sc 0.2500 0.2500 0.7500  4 Nd 3.35, 4 Sm 3.35
Tl 0.2500 0.2500 0.2500  4 Nd 3.35, 4 Sm 3.35

Summary:
The calculation puts the density of states at the Fermi level at 20.616 states/eV per cell. The volume is 465 Å³ per cell. The total magnetization is 1.3 μB/f.u.

=====

Quick one: least stable of them? *b*

=====

*a*
This record from Alexandria describes NdSmYSc after structural relaxation. The functional is PBE.

Lattice parameters (Å, degrees): 7.9499 7.9499 7.9499 90.00 90.00 90.00
Closest atoms and distances in Å follow each position.
Space group F-43m (No. 216)
Asymmetric unit:
Nd 0.0000 0.0000 0.0000  4 Sc 3.44, 4 Y 3.44
Sm 0.0000 0.0000 0.5000  4 Y 3.44, 4 Sc 3.44
Y 0.2500 0.2500 0.7500  4 Nd 3.44, 4 Sm 3.44
Sc 0.2500 0.2500 0.2500  4 Sm 3.44, 4 Nd 3.44

Summary:
The calculation puts the density of states at the Fermi level at 24.728 states/eV per cell. The volume is 502 Å³ per cell. The total magnetization is 0.0 μB/f.u.

=====

*b*
This record from Alexandria describes NdSmYSc after structural relaxation. The functional is PBE.

Lattice parameters (Å, degrees): 12.2281 5.7003 3.8147 90.00 108.11 90.00
Closest atoms and distances in Å follow each position.
Space group Cm (No. 8)
Asymmetric unit:
Nd 0.0000 0.0000 0.0000  4 Sc 3.42-3.44, 2 Y 3.64-3.66, 2 Sm 3.68-3.71, 2 Nd 3.81
Sm 0.2276 0.5000 0.2202  2 Sc 3.29-3.30, 4 Y 3.46, 1 Nd 3.68
Y 0.2674 0.0000 0.7605  2 Sc 3.27-3.29, 4 Sm 3.46, 2 Nd 3.64-3.66
Sc 0.4969 0.0000 0.4925  2 Y 3.27-3.29, 2 Sm 3.29-3.30, 4 Nd 3.42-3.44

Summary:
The calculation puts the density of states at the Fermi level at 13.894 states/eV per cell. The volume is 253 Å³ per cell. The total magnetization is 0.0 μB/f.u.

=====

Quick one: least stable of them? *a*

=====

*a*
This record from Alexandria describes NdSc2Sn after structural relaxation. The functional is PBE.

Lattice parameters (Å, degrees): 4.7005 4.7005 4.6005 90.00 90.00 90.00
Closest atoms and distances in Å follow each position.
Space group P4/mmm (No. 123)
Asymmetric unit:
Nd 0.0000 0.0000 0.0000  8 Sc 3.29, 4 Sn 3.32
Sc 0.0000 0.5000 0.5000  4 Sn 3.29, 4 Nd 3.29, 4 Sc 3.32
Sn 0.5000 0.5000 0.0000  8 Sc 3.29, 4 Nd 3.32

Summary:
The calculation puts the density of states at the Fermi level at 6.092 states/eV per cell. The volume is 102 Å³ per cell. The total magnetization is 0.3 μB/f.u.

=====

*b*
This record from Alexandria describes NdSc2Sn after structural relaxation. The functional is PBE.

Lattice parameters (Å, degrees): 3.6851 3.6851 7.6704 90.00 90.00 90.00
Closest atoms and distances in Å follow each position.
Space group P4/mmm (No. 123)
Asymmetric unit:
Nd 0.0000 0.0000 0.0000  8 Sc 3.41, 4 Nd 3.69
Sc 0.5000 0.5000 0.2875  4 Sn 3.07, 1 Sc 3.26, 4 Nd 3.41
Sn 0.0000 0.0000 0.5000  8 Sc 3.07

Summary:
The calculation puts the density of states at the Fermi level at 5.476 states/eV per cell. The volume is 104 Å³ per cell. The total magnetization is 0.0 μB/f.u.

=====

*c*
This record from Alexandria describes NdSc2Sn after structural relaxation. The functional is PBE.

Lattice parameters (Å, degrees): 4.2035 12.0054 8.7577 90.00 90.00 90.00
Closest atoms and distances in Å follow each position.
Space group Cmcm (No. 63)
Asymmetric unit:
Nd 0.0000 0.0531 0.2500  3 Sn 3.28-3.48, 8 Sc 3.51-3.56
Sc 0.0000 0.3631 0.0504  3 Sn 2.98-3.04
Sn 0.0000 0.2366 0.7500  6 Sc 2.98-3.04, 2 Nd 3.28

Summary:
The calculation puts the density of states at the Fermi level at 24.272 states/eV per cell. The volume is 442 Å³ per cell. The total magnetization is 0.9 μB/f.u.

=====

Quick one: least stable of them? *b*

=====

*a*
This record from Alexandria describes Nd3ScSn2 after structural relaxation. The functional is PBE.

Lattice parameters (Å, degrees): 6.5173 17.1282 6.4666 90.00 90.00 90.00
Closest atoms and distances in Å follow each position.
Space group Ibam (No. 72)
Asymmetric unit:
Nd 0.0000 0.0000 0.2500  2 Nd 3.23, 2 Sc 3.26, 4 Sn 3.30
Nd 0.2423 0.1751 0.0000  5 Sn 3.28-3.40
Sc 0.0000 0.5000 0.2500  4 Sn 3.18, 2 Sc 3.23, 2 Nd 3.26
Sn 0.2326 0.3668 0.0000  2 Sc 3.18, 7 Nd 3.28-3.40

Summary:
The calculation puts the density of states at the Fermi level at 39.102 states/eV per cell. The volume is 722 Å³ per cell. The total magnetization is 0.0 μB/f.u.

=====

*b*
This record from Alexandria describes Nd3ScSn2 after structural relaxation. The functional is PBE.

Lattice parameters (Å, degrees): 4.4707 4.7463 17.0541 90.00 90.00 90.00
Closest atoms and distances in Å follow each position.
Space group Immm (No. 71)
Asymmetric unit:
Nd 0.0000 0.0000 0.0000  4 Sc 3.26, 4 Sn 3.27
Nd 0.0000 0.5000 0.3230  5 Sn 3.25-3.35
Sc 0.0000 0.0000 0.5000  4 Sn 3.18, 4 Nd 3.26
Sn 0.0000 0.5000 0.1322  2 Sc 3.18, 7 Nd 3.25-3.35

Summary:
The calculation puts the density of states at the Fermi level at 14.522 states/eV per cell. The volume is 362 Å³ per cell. The total magnetization is 0.0 μB/f.u.

=====

Quick one: least stable of them? *a*

=====

*a*
This record from Alexandria describes Nd2Sc3Sn4 after structural relaxation. The functional is PBE.

Lattice parameters (Å, degrees): 6.6609 16.7135 8.6530 90.00 90.00 90.00
Closest atoms and distances in Å follow each position.
Space group Cmce (No. 64)
Asymmetric unit:
Nd 0.0000 0.1131 0.0874  8 Sn 3.32-3.60, 2 Sc 3.68
Sc 0.0000 0.0000 0.5000  4 Sn 2.80
Sc 0.2500 0.2096 0.7500  5 Sn 2.89-3.12
Sn 0.0000 0.1869 0.4483  5 Sc 2.95-3.16
Sn 0.2500 0.0366 0.7500  3 Sc 2.80-2.89

Summary:
The calculation puts the density of states at the Fermi level at 23.191 states/eV per cell. The volume is 963 Å³ per cell. The total magnetization is 0.0 μB/f.u.

=====

*b*
This record from Alexandria describes Nd2Sc3Sn4 after structural relaxation. The functional is PBE.

Lattice parameters (Å, degrees): 8.0162 8.0317 7.8142 90.00 110.14 90.00
Closest atoms and distances in Å follow each position.
Space group P2_1/c (No. 14)
Asymmetric unit:
Nd 0.1917 0.1748 0.0606  7 Sn 3.14-3.43
Sc 0.2503 0.6635 0.2455  6 Sn 2.93-3.07
Sc 0.5000 0.0000 0.5000  6 Sn 3.03-3.14
Sn 0.0858 0.5449 0.8497  4 Sc 2.94-3.14, 1 Sn 3.19, 1 Nd 3.20
Sn 0.4967 0.1357 0.8611  5 Sc 2.93-3.12, 1 Sn 3.06, 1 Nd 3.14

Summary:
The calculation puts the density of states at the Fermi level at 14.522 states/eV per cell. The volume is 472 Å³ per cell. The total magnetization is 0.0 μB/f.u.

=====

Quick one: least stable of them? *a*